[1]
# InAg2Te

Crystalline InAg2Te at its relaxed geometry (PBE, Alexandria via LeMat-Bulk).

Unit cell a=5.119 b=5.119 c=5.119 alpha=60.00 beta=60.00 gamma=60.00
Fractional coordinates of all 4 atoms:
Ag1 0.750 0.750 0.750
Ag2 0.250 0.250 0.250
In1 0.000 0.000 0.000
Te1 0.500 0.500 0.500

The formation energy (no corrections) comes out at 76 meV/atom. Its space group is No. 225. For the energy above the most stable polymorph in this dataset, the calculation gives 0.27 eV/f.u.

---

[2]
# Ba2SiAu

Crystalline Ba2SiAu at its relaxed geometry (PBE, Alexandria via LeMat-Bulk).

Unit cell a=6.450 b=6.450 c=6.450 alpha=136.50 beta=136.50 gamma=63.21
Fractional coordinates of all 4 atoms:
Ba1 0.000 0.000 0.000
Ba2 0.250 0.750 0.500
Si1 0.500 0.500 0.000
Au1 0.750 0.250 0.500

The formation energy (no corrections) comes out at -218 meV/atom. Its space group is No. 119. For the energy above the most stable polymorph in this dataset, the calculation gives 1.16 eV/f.u.

---

[3]
# CsHf2SiAg

Crystalline CsHf2SiAg at its relaxed geometry (PBE, Alexandria via LeMat-Bulk).

Unit cell a=5.031 b=6.574 c=5.031 alpha=90.00 beta=90.00 gamma=90.00
Fractional coordinates of all 5 atoms:
Hf1 0.000 0.000 0.500
Hf2 0.500 0.000 0.000
Ag1 0.500 0.500 0.500
Si1 0.000 0.000 0.000
Cs1 0.000 0.500 0.000

The formation energy (no corrections) comes out at 945 meV/atom. Its space group is No. 123.